1.
A plane-wave DFT calculation with PBE was carried out for crystalline CsZrMo3 at its relaxed geometry.

Properties
- V: 23.34 A^3/atom
- Magnetic moment: 0.00 μB/atom
- Calculated formation energy: 65.8 kcal/mol of atoms
- Space group: No. 221

a b c (Å): 4.8865 4.8865 4.8865
angles (deg): 90.00 90.00 90.00
Positions (direct):
Mo 0.0000 0.0000 0.5000
Mo 0.5000 0.0000 0.0000
Mo 0.0000 0.5000 0.0000
Cs 0.0000 0.0000 0.0000
Zr 0.5000 0.5000 0.5000

---

2.
A plane-wave DFT calculation with PBE was carried out for crystalline CsZr2Mo at its relaxed geometry.

Properties
- V: 23.24 A^3/atom
- Magnetic moment: 0.00 μB/atom
- Calculated formation energy: 28.8 kcal/mol of atoms
- Space group: No. 225

a b c (Å): 5.0848 5.0848 5.0848
angles (deg): 60.00 60.00 60.00
Positions (direct):
Mo 0.0000 0.0000 0.0000
Zr 0.2500 0.2500 0.2500
Zr 0.7500 0.7500 0.7500
Cs 0.5000 0.5000 0.5000

---

3.
A plane-wave DFT calculation with PBE was carried out for crystalline CsN2 at its relaxed geometry.

Properties
- Formation energy without anion corrections: -0.17 eV/atom
- V: 26.95 A^3/atom
- Magnetic moment: 0.00 μB/atom
- Space group: No. 139

a b c (Å): 4.6903 4.6903 4.9507
angles (deg): 118.27 118.27 90.00
Positions (direct):
N 0.0797 0.0797 0.1594
N 0.9203 0.9203 0.8406
Cs 0.5000 0.5000 0.0000

---

4.
A plane-wave DFT calculation with PBE was carried out for crystalline CsN at its relaxed geometry.

Properties
- Formation energy without anion corrections: 1.41 eV/atom
- V: 28.13 A^3/atom
- Magnetic moment: 1.00 μB/atom
- Space group: No. 221

a b c (Å): 3.8318 3.8318 3.8318
angles (deg): 90.00 90.00 90.00
Positions (direct):
Cs 0.0000 0.0000 0.0000
N 0.5000 0.5000 0.5000

---

5.
A plane-wave DFT calculation with PBE was carried out for crystalline CsN at its relaxed geometry.

Properties
- Formation energy without anion corrections: 0.92 eV/atom
- V: 33.45 A^3/atom
- Magnetic moment: 0.02 μB/atom
- Space group: No. 11

a b c (Å): 4.2102 3.2395 10.0350
angles (deg): 90.00 102.14 90.00
Positions (direct):
Cs 0.5968 0.2500 0.1930
Cs 0.4032 0.7500 0.8070
N 0.0188 0.7500 0.0376
N 0.9812 0.2500 0.9624

---

6.
A plane-wave DFT calculation with PBE was carried out for crystalline CsN at its relaxed geometry.

Properties
- Formation energy without anion corrections: -0.05 eV/atom
- V: 45.87 A^3/atom
- Magnetic moment: 0.26 μB/atom
- Space group: No. 1

a b c (Å): 4.6430 4.9339 9.4244
angles (deg): 89.49 76.04 61.92
Positions (direct):
N 0.7690 0.0328 0.9186
N 0.6128 0.2629 0.0028
Cs 0.8222 0.6484 0.2023
Cs 0.1837 0.3859 0.7320